An optimized crystal structure of Rb3In2Sn4. Source: Alexandria, functional PBE-GGA.

energy relative to the elements: -169 meV/atom
energy above the lowest structure with this stoichiometry: 0 meV/atom

a = 14.550 Å, b = 4.887 Å, c = 10.293 Å
α = 90.00°, β = 90.44°, γ = 90.00°
Space group C2/m (No. 12)
Asymmetric unit:
Rb: 0.000 0.000 0.000 [2 per cell]
Rb: 0.164 0.500 0.665 [4 per cell]
In: 0.098 0.500 0.266 [4 per cell]
Sn: 0.071 0.000 0.403 [4 per cell]
Sn: 0.242 0.500 0.077 [4 per cell]